An optimized crystal structure of Er4CoTe3. Source: the Alexandria database, functional PBE.

Computed properties:
Calculated total energy = -5.0706 eV/atom
Theoretical density = 7.09 g/cm3

abc: 5.998 8.807 9.844
angles: 90.00 90.00 90.00
Element x y z (fractional)
Er 0.564 0.698 0.297
Er 0.564 0.125 0.500
Er 0.564 0.147 0.000
Er 0.064 0.853 0.500
Co 0.064 0.146 0.000
Te 0.064 0.653 0.757
Te 0.564 0.802 0.000
Er 0.064 0.302 0.203
Te 0.564 0.347 0.743
Te 0.064 0.198 0.500
Te 0.064 0.653 0.243
Co 0.564 0.854 0.500
Te 0.564 0.347 0.257
Er 0.064 0.302 0.797
Er 0.064 0.875 0.000
Er 0.564 0.698 0.703